VASP calculation (GGA-PBE) on crystalline PmGa at its relaxed geometry.

Cell: 4.458 4.150 6.042 Å, 90.00 111.58 90.00°
Atoms (fractional coordinates):
Pm  0.140  0.250  0.280
Pm  0.860  0.750  0.720
Ga  0.428  0.250  0.855
Ga  0.572  0.750  0.145

- space group = P2_1/m
- E_tot (eV/atom) = -4.488
- total magnetization (μB per formula unit) = 0.000
- DFT formation energy (meV/atom) = -599


VASP calculation (GGA-PBE) on crystalline CsCdInAs at its relaxed geometry.

Cell: 4.810 4.810 13.437 Å, 90.00 90.00 90.00°
Atoms (fractional coordinates):
Cs  0.250  0.250  0.246
Cs  0.750  0.750  0.754
Cd  0.250  0.750  0.000
Cd  0.750  0.250  0.000
In  0.250  0.750  0.500
In  0.750  0.250  0.500
As  0.250  0.250  0.612
As  0.750  0.750  0.388

- space group = P4/nmm
- E_tot (eV/atom) = -2.474
- total magnetization (μB per formula unit) = 0.000
- DFT formation energy (meV/atom) = -185


VASP calculation (GGA-PBE) on crystalline YWN3 at its relaxed geometry.

Cell: 5.785 5.785 5.785 Å, 138.81 84.47 110.11°
Atoms (fractional coordinates):
Y  0.224  0.000  0.224
Y  0.776  0.000  0.776
W  0.187  0.687  0.500
W  0.616  0.616  0.000
N  0.277  0.277  0.000
N  0.401  0.653  0.747
N  0.503  0.003  0.500
N  0.880  0.210  0.330
N  0.880  0.549  0.670
N  0.906  0.653  0.253

- space group = Imm2
- E_tot (eV/atom) = -9.640
- total magnetization (μB per formula unit) = 0.000


VASP calculation (GGA-PBE) on crystalline Rb2NaBiH at its relaxed geometry.

Cell: 6.293 6.293 4.352 Å, 90.00 90.00 90.00°
Atoms (fractional coordinates):
Rb  0.000  0.500  0.000
Rb  0.500  0.000  0.000
Na  0.000  0.000  0.500
Bi  0.500  0.500  0.500
H  0.000  0.000  0.000

- space group = P4/mmm
- E_tot (eV/atom) = -2.280
- total magnetization (μB per formula unit) = 0.001


VASP calculation (GGA-PBE) on crystalline Ce2Cd3In3 at its relaxed geometry.

Cell: 4.686 4.761 9.252 Å, 90.00 90.00 90.00°
Atoms (fractional coordinates):
Ce  0.000  0.000  0.248
Ce  0.000  0.000  0.752
Cd  0.000  0.500  0.500
Cd  0.500  0.500  0.252
Cd  0.500  0.500  0.748
In  0.000  0.500  0.000
In  0.500  0.000  0.000
In  0.500  0.000  0.500

- space group = Pmmm
- E_tot (eV/atom) = -3.134
- total magnetization (μB per formula unit) = 2.033
- DFT formation energy (meV/atom) = -281


VASP calculation (GGA-PBE) on crystalline Ce2O2F at its relaxed geometry.

Cell: 4.154 4.154 5.101 Å, 90.00 90.00 120.00°
Atoms (fractional coordinates):
Ce  0.333  0.667  0.242
Ce  0.667  0.333  0.758
O  0.333  0.667  0.728
O  0.667  0.333  0.272
F  0.000  0.000  0.000

- space group = P-3m1
- E_tot (eV/atom) = -7.950
- total magnetization (μB per formula unit) = 2.228


Q: Look up the E_tot of the fourth one.
A: -2.280 eV/atom


Q: The highest E_tot belongs to which entry?
A: Rb2NaBiH


Q: Which of these has the highest E_tot?
A: Rb2NaBiH


Q: Which value of total magnetization does entry 1 give?
A: 0.000 μB per formula unit